Entry 1:
Entry from the Alexandria database: an optimized crystal structure of Hf3TiBe2C (GGA-PBE).

## Properties
ΔE_f, meV/atom: -105
Size of the total moment, μB/cell: 0.000

Geometry as POSCAR:
```
Hf3TiBe2C
1.0
4.104 0.000 0.000
0.000 4.288 0.000
-2.052 -2.144 6.511
Hf Ti Be C
3 1 2 1
direct
0.000 0.500 0.000
0.174 0.174 0.349
0.826 0.826 0.651
0.500 0.000 0.000
0.625 0.625 0.249
0.375 0.375 0.751
0.000 0.000 0.000
```


Entry 2:
Entry from the Alexandria database: an optimized crystal structure of PmTm2Sb (GGA-PBE).

## Properties
Size of the total moment, μB/cell: 0.000
Uncorrected formation energy, kJ/mol of atoms: -44

Geometry as POSCAR:
```
PmTm2Sb
1.0
3.945 0.000 0.000
0.000 3.945 0.000
0.000 0.000 7.366
Sb Tm Pm
1 2 1
direct
0.500 0.500 0.500
0.000 0.000 0.719
0.000 0.000 0.281
0.500 0.500 0.000
```


Entry 3:
Entry from the Alexandria database: an optimized crystal structure of RuAuCl2 (GGA-PBE).

## Properties
Size of the total moment, μB/cell: 0.000
Uncorrected formation energy, kJ/mol of atoms: 33

Geometry as POSCAR:
```
RuAuCl2
1.0
6.971 -0.001 -0.003
4.971 4.886 0.003
-5.573 -3.415 2.422
Ru Au Cl
1 1 2
direct
0.487 0.487 0.000
0.670 0.170 0.500
0.004 0.004 0.000
0.339 0.839 0.500
```


Entry 4:
Entry from the Alexandria database: an optimized crystal structure of K4MnCd (GGA-PBE).

## Properties
ΔE_f, meV/atom: 639
Size of the total moment, μB/cell: 4.394

Geometry as POSCAR:
```
K4MnCd
1.0
3.691 3.603 5.513
-3.823 2.938 5.810
0.548 -3.130 6.848
K Mn Cd
4 1 1
direct
0.875 0.375 0.375
0.375 0.375 0.875
0.375 0.875 0.375
0.375 0.375 0.375
0.750 0.750 0.750
0.000 0.000 0.000
```


Entry 5:
Entry from the Alexandria database: an optimized crystal structure of PaNbPb (GGA-PBE).

## Properties
ΔE_f, meV/atom: 320
Size of the total moment, μB/cell: 0.690

Geometry as POSCAR:
```
PaNbPb
1.0
3.058 0.000 0.000
0.000 5.190 0.000
0.000 -2.595 4.495
Pb Nb Pa
1 1 1
direct
0.166 0.000 0.000
0.167 0.333 0.667
0.667 0.667 0.333
```


Entry 6:
Entry from the Alexandria database: an optimized crystal structure of Mg2CrPb (GGA-PBE).

## Properties
ΔE_f, meV/atom: 274
Size of the total moment, μB/cell: 3.935

Geometry as POSCAR:
```
Mg2CrPb
1.0
3.613 0.426 0.000
-0.427 3.613 0.000
0.000 0.000 6.623
Cr Mg Pb
1 2 1
direct
0.500 0.500 0.764
0.000 0.000 0.983
0.500 0.500 0.235
0.000 0.000 0.517
```


Entry 7:
Entry from the Alexandria database: an optimized crystal structure of Zr2ScAu (GGA-PBE).

## Properties
ΔE_f, meV/atom: -348
Size of the total moment, μB/cell: 0.000

Geometry as POSCAR:
```
Zr2ScAu
1.0
-2.951 -0.239 1.383
-1.287 -0.824 -2.889
1.392 -7.835 1.616
Sc Au Zr
1 1 2
direct
0.500 0.500 0.727
0.000 0.000 0.506
0.000 0.000 0.001
0.500 0.500 0.266
```


Entry 8:
Entry from the Alexandria database: an optimized crystal structure of KBeVNi2 (GGA-PBE).

## Properties
ΔE_f, meV/atom: 2405
Size of the total moment, μB/cell: 3.717

Geometry as POSCAR:
```
KBeVNi2
1.0
-2.241 3.242 -2.047
-3.445 -2.990 -0.963
-1.983 1.050 3.833
Ni K Be V
2 1 1 1
direct
0.000 0.000 0.500
0.500 0.000 0.000
0.000 0.000 0.000
0.500 0.500 0.500
0.000 0.500 0.000
```


Entry 9:
Entry from the Alexandria database: an optimized crystal structure of NdInAu5 (GGA-PBE).

## Properties
ΔE_f, meV/atom: -430
Size of the total moment, μB/cell: 0.000

Geometry as POSCAR:
```
NdInAu5
1.0
5.755 0.000 0.000
0.000 9.077 0.000
0.000 0.000 11.337
Nd In Au
4 4 20
direct
0.250 0.248 0.949
0.750 0.252 0.449
0.250 0.748 0.551
0.750 0.752 0.051
0.250 0.848 0.847
0.750 0.652 0.347
0.250 0.348 0.653
0.750 0.152 0.153
0.250 0.597 0.021
0.750 0.903 0.521
0.250 0.097 0.479
0.750 0.403 0.979
0.750 0.320 0.723
0.250 0.180 0.223
0.750 0.820 0.777
0.250 0.680 0.277
0.250 0.924 0.077
0.750 0.576 0.577
0.250 0.424 0.423
0.750 0.076 0.923
0.990 0.437 0.199
0.010 0.063 0.699
0.510 0.937 0.301
0.490 0.563 0.801
0.010 0.563 0.801
0.990 0.937 0.301
0.490 0.063 0.699
0.510 0.437 0.199
```


Entry 10:
Entry from the Alexandria database: an optimized crystal structure of YTl2CoPb (GGA-PBE).

## Properties
ΔE_f, meV/atom: 2
Size of the total moment, μB/cell: 0.000

Geometry as POSCAR:
```
YTl2CoPb
1.0
-4.201 -1.419 2.463
1.343 -4.864 -0.513
2.505 0.227 4.404
Pb Y Tl Co
1 1 2 1
direct
0.500 0.500 0.500
0.000 0.000 0.500
0.000 0.500 0.000
0.500 0.000 0.000
0.000 0.000 0.000
```


Entry 11:
Entry from the Alexandria database: an optimized crystal structure of TaMo2Cl (GGA-PBE).

## Properties
Size of the total moment, μB/cell: 0.001
Uncorrected formation energy, kJ/mol of atoms: 22

Geometry as POSCAR:
```
TaMo2Cl
1.0
-1.313 1.205 2.549
-2.554 -1.913 -0.411
-1.861 -9.051 3.319
Cl Mo Ta
1 2 1
direct
0.500 0.750 0.750
0.000 0.173 0.039
0.000 0.327 0.461
0.500 0.250 0.250
```


Entry 12:
Entry from the Alexandria database: an optimized crystal structure of LuAlAg2 (GGA-PBE).

## Properties
ΔE_f, meV/atom: -164
Size of the total moment, μB/cell: 0.000

Geometry as POSCAR:
```
LuAlAg2
1.0
-0.837 3.361 0.304
-2.181 -0.778 2.594
4.865 0.820 4.335
Lu Al Ag
1 1 2
direct
0.500 0.500 0.500
0.500 0.500 0.000
0.000 0.000 0.773
0.000 0.000 0.227
```


no.,total energy (eV per atom)
1,-7.880
2,-4.906
3,-3.720
4,-1.773
5,-7.438
6,-3.856
7,-7.025
8,-2.696
9,-3.843
10,-4.401
11,-8.611
12,-3.656